# 1
CaGdInGe | PBE-GGA | optimized geometry

Computed properties:
Energy relative to the elements = -0.471 eV/atom
Density = 6.1 Mg/m³
Fermi-level density of states = 0.561 states/eV/atom
Uncorrected energy = -6.331 eV/atom
Space-group type = F-43m (216)

```
CaGdInGe
1.0
5.278 0.000 0.000
2.639 4.571 0.000
2.639 1.524 4.310
Ge Gd Ca In
1 1 1 1
direct
0.250 0.250 0.250
0.000 0.000 0.000
0.500 0.500 0.500
0.750 0.750 0.750
```

# 2
LiCaGdGe | PBE-GGA | optimized geometry

Computed properties:
Energy relative to the elements = -0.383 eV/atom
Density = 4.8 Mg/m³
Fermi-level density of states = 0.972 states/eV/atom
Uncorrected energy = -6.037 eV/atom
Space-group type = F-43m (216)

```
LiCaGdGe
1.0
-0.244 -1.280 4.957
2.535 -4.113 1.713
4.110 0.591 3.005
Ge Gd Ca Li
1 1 1 1
direct
0.250 0.250 0.250
0.000 0.000 0.000
0.500 0.500 0.500
0.750 0.750 0.750
```

# 3
CaGdMgGe | PBE-GGA | optimized geometry

Computed properties:
Energy relative to the elements = -0.328 eV/atom
Density = 4.8 Mg/m³
Fermi-level density of states = 1.050 states/eV/atom
Uncorrected energy = -5.902 eV/atom
Space-group type = F-43m (216)

```
CaGdMgGe
1.0
-0.440 0.658 5.165
-2.962 -3.265 2.806
2.242 -3.406 3.268
Mg Ge Gd Ca
1 1 1 1
direct
0.250 0.250 0.250
0.750 0.750 0.750
0.500 0.500 0.500
0.000 0.000 0.000
```

# 4
CaGdNiGe | PBE-GGA | optimized geometry

Computed properties:
Energy relative to the elements = -0.405 eV/atom
Density = 6.3 Mg/m³
Fermi-level density of states = 0.780 states/eV/atom
Uncorrected energy = -7.026 eV/atom
Space-group type = F-43m (216)

```
CaGdNiGe
1.0
4.970 0.000 0.000
2.485 4.304 0.000
2.485 1.435 4.058
Ni Ge Gd Ca
1 1 1 1
direct
0.750 0.750 0.750
0.250 0.250 0.250
0.000 0.000 0.000
0.500 0.500 0.500
```

# 5
CaGd2Ge4O12 | PBE-GGA | optimized geometry

Computed properties:
Density = 5.2 Mg/m³
Formation energy without anion corrections = -228 kJ/mol of atoms
Fermi-level density of states = 0.000 states/eV/atom
Uncorrected energy = -8.054 eV/atom
Space-group type = Cmme (67)

```
CaGd2Ge4O12
1.0
-2.989 -8.063 5.493
5.896 3.130 7.717
-3.927 2.742 1.888
Ca Gd Ge O
2 4 8 24
direct
0.500 0.500 0.500
0.000 0.000 0.500
0.000 0.500 0.500
0.500 0.000 0.500
0.750 0.750 0.500
0.250 0.250 0.500
0.751 0.023 0.995
0.249 0.977 0.005
0.251 0.523 0.005
0.749 0.477 0.995
0.023 0.751 0.005
0.977 0.249 0.995
0.523 0.251 0.995
0.477 0.749 0.005
0.870 0.130 0.150
0.375 0.875 0.163
0.125 0.625 0.163
0.630 0.370 0.150
0.130 0.870 0.850
0.625 0.125 0.837
0.875 0.375 0.837
0.370 0.630 0.850
0.565 0.678 0.255
0.057 0.326 0.254
0.443 0.174 0.254
0.935 0.822 0.255
0.435 0.322 0.745
0.943 0.674 0.746
0.557 0.826 0.746
0.065 0.178 0.745
0.678 0.565 0.745
0.326 0.057 0.746
0.174 0.443 0.746
0.822 0.935 0.745
0.322 0.435 0.255
0.674 0.943 0.254
0.826 0.557 0.254
0.178 0.065 0.255
```

# 6
CaGdGePd | PBE-GGA | optimized geometry

Computed properties:
Energy relative to the elements = -0.712 eV/atom
Density = 6.9 Mg/m³
Fermi-level density of states = 0.627 states/eV/atom
Uncorrected energy = -7.185 eV/atom
Space-group type = F-43m (216)

```
CaGdGePd
1.0
-1.539 -4.505 -1.683
3.186 -2.960 -2.567
1.778 -4.227 2.114
Ge Gd Ca Pd
1 1 1 1
direct
0.250 0.250 0.250
0.000 0.000 0.000
0.500 0.500 0.500
0.750 0.750 0.750
```